[1]
# ZnFe2Co2 PBE optimized geometry
# - calculated volume (Å³ per atom) = 13.1
# - E_tot (Ha/atom) = -0.23038
# - excess energy over the best structure of this formula in the dataset (eV/atom) = 0.096
# - DFT formation energy (meV/atom) = 213.2
data_ZnFe2Co2
_cell_length_a 3.9721
_cell_length_b 3.9721
_cell_length_c 4.7894
_cell_angle_alpha 90.00
_cell_angle_beta 90.00
_cell_angle_gamma 120.00
_symmetry_space_group_name_H-M 'P -3 m 1'
_symmetry_Int_Tables_number 164
_symmetry_space_group_name_Hall '-P 3 2"'
loop_
_atom_site_label
_atom_site_type_symbol
_atom_site_fract_x
_atom_site_fract_y
_atom_site_fract_z
_atom_site_occupancy
Zn1 Zn 0.0000 0.0000 0.0000 1
Fe1 Fe 0.3333 0.6667 0.6518 1
Co1 Co 0.3333 0.6667 0.1681 1

[2]
# ZnFe3Co4 PBE optimized geometry
# - calculated volume (Å³ per atom) = 11.6
# - E_tot (Ha/atom) = -0.25539
# - DFT formation energy (meV/atom) = -63.7
data_ZnFe3Co4
_cell_length_a 4.018
_cell_length_b 4.018
_cell_length_c 5.728
_cell_angle_alpha 90.00
_cell_angle_beta 90.00
_cell_angle_gamma 90.00
_symmetry_space_group_name_H-M 'P 4/m m m'
_symmetry_Int_Tables_number 123
_symmetry_space_group_name_Hall '-P 4 2'
loop_
_atom_site_label
_atom_site_type_symbol
_atom_site_fract_x
_atom_site_fract_y
_atom_site_fract_z
_atom_site_occupancy
Zn1 Zn 0.000 0.000 0.000 1
Fe1 Fe 0.000 0.000 0.500 1
Fe2 Fe 0.500 0.500 0.000 1
Fe3 Fe 0.500 0.500 0.500 1
Co1 Co 0.000 0.500 0.258 1

[3]
# ZnFeCo2 PBE optimized geometry
# - calculated volume (Å³ per atom) = 11.8
# - E_tot (Ha/atom) = -0.21878
# - DFT formation energy (meV/atom) = 33.9
data_ZnFeCo2
_cell_length_a 2.893
_cell_length_b 4.115
_cell_length_c 7.953
_cell_angle_alpha 90.00
_cell_angle_beta 90.00
_cell_angle_gamma 90.00
_symmetry_space_group_name_H-M 'I m m m'
_symmetry_Int_Tables_number 71
_symmetry_space_group_name_Hall '-I 2 2'
loop_
_atom_site_label
_atom_site_type_symbol
_atom_site_fract_x
_atom_site_fract_y
_atom_site_fract_z
_atom_site_occupancy
Zn1 Zn 0.000 0.000 0.000 1
Fe1 Fe 0.000 0.000 0.500 1
Co1 Co 0.000 0.500 0.241 1

[4]
# ZnFeCo2 PBE optimized geometry
# - calculated volume (Å³ per atom) = 11.7
# - E_tot (Ha/atom) = -0.21907
# - DFT formation energy (meV/atom) = 25.9
data_ZnFeCo2
_cell_length_a 8.316
_cell_length_b 2.569
_cell_length_c 4.458
_cell_angle_alpha 90.00
_cell_angle_beta 100.91
_cell_angle_gamma 90.00
_symmetry_space_group_name_H-M 'C 1 2/m 1'
_symmetry_Int_Tables_number 12
loop_
_symmetry_equiv_pos_as_xyz
'x,y,z'
'-x,-y,-z'
'-x,y,-z'
'x,-y,z'
'x+1/2,y+1/2,z'
'-x+1/2,-y+1/2,-z'
'-x+1/2,y+1/2,-z'
'x+1/2,-y+1/2,z'
loop_
_atom_site_label
_atom_site_type_symbol
_atom_site_fract_x
_atom_site_fract_y
_atom_site_fract_z
_atom_site_occupancy
Zn1 Zn 0.000 0.000 0.000 1
Fe1 Fe 0.000 0.500 0.500 1
Co1 Co 0.245 0.000 0.742 1

[5]
# Zn2FeCo4 PBE optimized geometry
# - calculated volume (Å³ per atom) = 12.1
# - E_tot (Ha/atom) = -0.20613
# - DFT formation energy (meV/atom) = 24.4
data_Zn2FeCo4
_cell_length_a 2.559
_cell_length_b 25.557
_cell_length_c 2.588
_cell_angle_alpha 90.00
_cell_angle_beta 90.00
_cell_angle_gamma 90.00
_symmetry_space_group_name_H-M 'C m m m'
_symmetry_Int_Tables_number 65
_symmetry_space_group_name_Hall '-C 2 2'
loop_
_atom_site_label
_atom_site_type_symbol
_atom_site_fract_x
_atom_site_fract_y
_atom_site_fract_z
_atom_site_occupancy
Zn1 Zn 0.000 0.204 0.000 1
Fe1 Fe 0.000 0.500 0.500 1
Co1 Co 0.000 0.070 0.000 1
Co2 Co 0.000 0.368 0.500 1

[6]
# ZnFeCo2 PBE optimized geometry
# - calculated volume (Å³ per atom) = 12.9
# - E_tot (Ha/atom) = -0.20438
# - DFT formation energy (meV/atom) = 425.6
data_ZnFeCo2
_cell_length_a 2.470
_cell_length_b 4.330
_cell_length_c 9.664
_cell_angle_alpha 90.00
_cell_angle_beta 90.00
_cell_angle_gamma 90.00
_symmetry_space_group_name_H-M 'I m m m'
_symmetry_Int_Tables_number 71
_symmetry_space_group_name_Hall '-I 2 2'
loop_
_atom_site_label
_atom_site_type_symbol
_atom_site_fract_x
_atom_site_fract_y
_atom_site_fract_z
_atom_site_occupancy
Zn1 Zn 0.000 0.000 0.000 1
Fe1 Fe 0.000 0.000 0.500 1
Co1 Co 0.000 0.000 0.257 1

[7]
# ZnFe5Co6 PBE optimized geometry
# - calculated volume (Å³ per atom) = 11.6
# - E_tot (Ha/atom) = -0.26650
# - DFT formation energy (meV/atom) = -66.6
data_ZnFe5Co6
_cell_length_a 12.713
_cell_length_b 5.721
_cell_length_c 4.021
_cell_angle_alpha 90.00
_cell_angle_beta 108.29
_cell_angle_gamma 90.00
_symmetry_space_group_name_H-M 'C 1 2/m 1'
_symmetry_Int_Tables_number 12
loop_
_symmetry_equiv_pos_as_xyz
'x,y,z'
'-x,-y,-z'
'-x,y,-z'
'x,-y,z'
'x+1/2,y+1/2,z'
'-x+1/2,-y+1/2,-z'
'-x+1/2,y+1/2,-z'
'x+1/2,-y+1/2,z'
loop_
_atom_site_label
_atom_site_type_symbol
_atom_site_fract_x
_atom_site_fract_y
_atom_site_fract_z
_atom_site_occupancy
Zn1 Zn 0.000 0.000 0.000 1
Fe1 Fe 0.000 0.500 0.000 1
Fe2 Fe 0.164 0.000 0.664 1
Fe3 Fe 0.167 0.500 0.667 1
Co1 Co 0.000 0.258 0.500 1
Co2 Co 0.170 0.254 0.170 1

[8]
# Zn2FeCo2 PBE optimized geometry
# - calculated volume (Å³ per atom) = 12.2
# - E_tot (Ha/atom) = -0.17012
# - excess energy over the best structure of this formula in the dataset (eV/atom) = 0.242
# - DFT formation energy (meV/atom) = 415.3
data_Zn2FeCo2
_cell_length_a 6.772
_cell_length_b 6.772
_cell_length_c 2.665
_cell_angle_alpha 90.00
_cell_angle_beta 90.00
_cell_angle_gamma 90.00
_symmetry_space_group_name_H-M 'P 4/m b m'
_symmetry_Int_Tables_number 127
_symmetry_space_group_name_Hall '-P 4 2ab'
loop_
_atom_site_label
_atom_site_type_symbol
_atom_site_fract_x
_atom_site_fract_y
_atom_site_fract_z
_atom_site_occupancy
Zn1 Zn 0.130 0.370 0.000 1
Fe1 Fe 0.000 0.000 0.000 1
Co1 Co 0.171 0.671 0.500 1

[9]
# ZnFe4Co3 PBE optimized geometry
# - calculated volume (Å³ per atom) = 11.9
# - E_tot (Ha/atom) = -0.25977
# - DFT formation energy (meV/atom) = -13.3
data_ZnFe4Co3
_cell_length_a 2.834
_cell_length_b 2.834
_cell_length_c 11.816
_cell_angle_alpha 90.00
_cell_angle_beta 90.00
_cell_angle_gamma 90.00
_symmetry_space_group_name_H-M 'P 4/m m m'
_symmetry_Int_Tables_number 123
_symmetry_space_group_name_Hall '-P 4 2'
loop_
_atom_site_label
_atom_site_type_symbol
_atom_site_fract_x
_atom_site_fract_y
_atom_site_fract_z
_atom_site_occupancy
Zn1 Zn 0.000 0.000 0.000 1
Fe1 Fe 0.500 0.500 0.139 1
Fe2 Fe 0.500 0.500 0.379 1
Co1 Co 0.000 0.000 0.259 1
Co2 Co 0.000 0.000 0.500 1

[10]
# ZnFe2Co5 PBE optimized geometry
# - calculated volume (Å³ per atom) = 11.5
# - E_tot (Ha/atom) = -0.24379
# - DFT formation energy (meV/atom) = 82.2
data_ZnFe2Co5
_cell_length_a 2.490
_cell_length_b 7.770
_cell_length_c 9.525
_cell_angle_alpha 90.00
_cell_angle_beta 90.00
_cell_angle_gamma 90.00
_symmetry_space_group_name_H-M 'I m m m'
_symmetry_Int_Tables_number 71
_symmetry_space_group_name_Hall '-I 2 2'
loop_
_atom_site_label
_atom_site_type_symbol
_atom_site_fract_x
_atom_site_fract_y
_atom_site_fract_z
_atom_site_occupancy
Zn1 Zn 0.000 0.000 0.000 1
Fe1 Fe 0.000 0.500 0.252 1
Co1 Co 0.000 0.234 0.373 1
Co2 Co 0.000 0.500 0.000 1

[11]
# ZnFe14Co PBE optimized geometry
# - calculated volume (Å³ per atom) = 11.6
# - E_tot (Ha/atom) = -0.29100
# - DFT formation energy (meV/atom) = 10.0
data_ZnFe14Co
_cell_length_a 5.706
_cell_length_b 8.062
_cell_length_c 8.080
_cell_angle_alpha 90.00
_cell_angle_beta 90.00
_cell_angle_gamma 90.00
_symmetry_space_group_name_H-M 'C m m m'
_symmetry_Int_Tables_number 65
_symmetry_space_group_name_Hall '-C 2 2'
loop_
_atom_site_label
_atom_site_type_symbol
_atom_site_fract_x
_atom_site_fract_y
_atom_site_fract_z
_atom_site_occupancy
Zn1 Zn 0.000 0.000 0.000 1
Fe1 Fe 0.000 0.000 0.500 1
Fe2 Fe 0.000 0.248 0.250 1
Fe3 Fe 0.000 0.500 0.500 1
Fe4 Fe 0.246 0.500 0.252 1
Fe5 Fe 0.250 0.250 0.000 1
Fe6 Fe 0.250 0.250 0.500 1
Co1 Co 0.000 0.500 0.000 1

[12]
# ZnFe4Co5 PBE optimized geometry
# - calculated volume (Å³ per atom) = 11.0
# - E_tot (Ha/atom) = -0.25617
# - DFT formation energy (meV/atom) = 94.6
data_ZnFe4Co5
_cell_length_a 2.502
_cell_length_b 2.502
_cell_length_c 17.596
_cell_angle_alpha 90.00
_cell_angle_beta 90.00
_cell_angle_gamma 90.00
_symmetry_space_group_name_H-M 'P 4/m m m'
_symmetry_Int_Tables_number 123
_symmetry_space_group_name_Hall '-P 4 2'
loop_
_atom_site_label
_atom_site_type_symbol
_atom_site_fract_x
_atom_site_fract_y
_atom_site_fract_z
_atom_site_occupancy
Zn1 Zn 0.000 0.000 0.000 1
Fe1 Fe 0.000 0.000 0.199 1
Fe2 Fe 0.000 0.000 0.399 1
Co1 Co 0.500 0.500 0.108 1
Co2 Co 0.500 0.500 0.296 1
Co3 Co 0.500 0.500 0.500 1